Dy2HgO | PBE | optimized geometry

Calculated values
Raw formation energy (eV/atom): -1.087
Calculated total energy (eV/cell): -18.8
Offset from the most stable computed form (eV/f.u.): 1.860

Cell lengths 3.102, 3.102, 7.826 Å; angles 90.00, 90.00, 90.00 degrees
Space group P4/mmm (No. 123)
One atom of each set of equivalent atoms:
Dy: 0.000 0.000 0.200 [2 per cell]
Hg: 0.500 0.500 0.500 [1 per cell]
O: 0.500 0.500 0.000 [1 per cell]

=====

DyHgOsO6 | PBE | optimized geometry

Calculated values
Raw formation energy (eV/atom): -1.435
Calculated total energy (eV/cell): -117.6

Cell lengths 5.574, 9.663, 4.793 Å; angles 90.00, 90.11, 90.00 degrees
Space group C2 (No. 5)
One atom of each set of equivalent atoms:
Dy: 0.000 0.000 0.000 [2 per cell]
Hg: 0.000 0.333 0.500 [2 per cell]
Os: 0.000 0.667 0.000 [2 per cell]
O: 0.128 0.811 0.226 [4 per cell]
O: 0.153 0.531 0.227 [4 per cell]
O: 0.220 0.158 0.226 [4 per cell]

=====

DyPaHg2O8 | PBE | optimized geometry

Calculated values
Raw formation energy (eV/atom): -1.534
Calculated total energy (eV/cell): -145.5

Cell lengths 7.264, 7.264, 7.243 Å; angles 90.00, 90.00, 90.00 degrees
Space group I-4m2 (No. 119)
One atom of each set of equivalent atoms:
Dy: 0.000 0.000 0.000 [2 per cell]
Pa: 0.000 0.500 0.750 [2 per cell]
Hg: 0.000 0.000 0.500 [2 per cell]
Hg: 0.000 0.500 0.250 [2 per cell]
O: 0.000 0.187 0.739 [8 per cell]
O: 0.000 0.323 0.009 [8 per cell]